AsAu3S (GGA-PBE, optimized geometry); Fermi-level density of states = 0.8482 states/eV/atom; electronic total energy = -15.191 eV per cell; ΔE_f (raw) = 3.4 eV/f.u.; space-group type = Pm-3m (221); energy above the lowest structure with this stoichiometry = 0 meV/atom
1.0
4.793 0.000 0.000
0.000 4.793 0.000
0.000 0.000 4.793
As Au S
1 3 1
Direct
0.000 0.000 0.000 As
0.000 0.500 0.500 Au
0.500 0.000 0.500 Au
0.500 0.500 0.000 Au
0.500 0.500 0.500 S